VASP calculation (GGA-PBEsol) on a geometry-optimized CsBi2Au structure.

Results
E_form: 23.3 kJ/mol of atoms
ρ: 10.6 g cm⁻³
E_tot: -3.12 eV/atom

Geometry as POSCAR:
```
CsBi2Au
1.0
5.494 0.000 0.000
2.747 4.758 0.000
2.747 1.586 4.486
Au Bi Cs
1 2 1
direct
0.500 0.500 0.500
0.250 0.250 0.250
0.750 0.750 0.750
0.000 0.000 0.000
```